1.
A relaxed Sm2Te2F crystal. Source: the Alexandria database, functional PBE.

Lattice parameters (Å, degrees): 17.7139 17.7139 17.7139 166.35 166.35 19.36
With the nearest neighbours (Å) after each atom.
Sites, in units of the cell vectors:
1 Sm 0.0899 0.3399 0.7500  2 F 2.44
2 Sm 0.3399 0.0899 0.2500  2 F 2.44
3 Sm 0.6601 0.9101 0.7500  2 F 2.44
4 Sm 0.9101 0.6601 0.2500  2 F 2.44
5 Te 0.1933 0.4433 0.7500  2 F 3.18, 4 Sm 3.20
6 Te 0.4433 0.1933 0.2500  2 F 3.18, 4 Sm 3.20
7 Te 0.5567 0.8067 0.7500  2 F 3.18, 4 Sm 3.20
8 Te 0.8067 0.5567 0.2500  2 F 3.18, 4 Sm 3.20
9 F 0.1250 0.8750 0.2500  4 Sm 2.44
10 F 0.8750 0.1250 0.7500  4 Sm 2.44

Values from the calculation:
For the total magnetization, the calculation gives 0.0 Bohr magnetons per cell. As for the space group: I4_1/amd (141).

=====

2.
A relaxed Sm2Te2F crystal. Source: the Alexandria database, functional PBE.

Lattice parameters (Å, degrees): 10.5712 10.5712 7.8331 96.48 96.48 24.21
With the nearest neighbours (Å) after each atom.
Sites, in units of the cell vectors:
1 Sm 0.1656 0.1656 0.4115  1 F 2.31
2 Sm 0.3243 0.3243 0.1246  1 F 2.52
3 Sm 0.6757 0.6757 0.8754  1 F 2.52
4 Sm 0.8344 0.8344 0.5885  1 F 2.31
5 Te 0.0879 0.0879 0.7129  3 Sm 3.00-3.05
6 Te 0.3978 0.3978 0.8070  3 Sm 3.01-3.06
7 Te 0.6022 0.6022 0.1930  3 Sm 3.01-3.06
8 Te 0.9121 0.9121 0.2871  3 Sm 3.00-3.05
9 F 0.2772 0.2772 0.4068  2 Sm 2.31-2.52
10 F 0.7228 0.7228 0.5932  2 Sm 2.31-2.52

Values from the calculation:
For the total magnetization, the calculation gives 2.1 Bohr magnetons per cell. As for the space group: C2/m (12).

=====

Most stable structure among those shown: 1.